Density functional theory data (PBEsol) for crystalline Hg2P3Br at its relaxed geometry.

**Energy relative to the elements, uncorrected**: -0.866 eV/f.u.
**V**: 23.0 Å³ per atom

a b c (Å): 7.820 7.981 8.838
angles (deg): 90.00 90.00 90.00
Positions (direct):
Br: 0.250 0.000 0.614
Br: 0.250 0.500 0.114
Br: 0.750 0.000 0.386
Br: 0.750 0.500 0.886
P: 0.750 0.000 0.822
P: 0.578 0.615 0.489
P: 0.422 0.385 0.511
P: 0.922 0.115 0.989
P: 0.922 0.385 0.489
P: 0.578 0.885 0.989
P: 0.250 0.500 0.678
P: 0.078 0.885 0.011
P: 0.078 0.615 0.511
P: 0.422 0.115 0.011
P: 0.250 0.000 0.178
P: 0.750 0.500 0.322
Hg: 0.395 0.715 0.829
Hg: 0.105 0.215 0.329
Hg: 0.895 0.785 0.671
Hg: 0.605 0.285 0.171
Hg: 0.605 0.215 0.671
Hg: 0.895 0.715 0.171
Hg: 0.105 0.285 0.829
Hg: 0.395 0.785 0.329

***

Density functional theory data (PBEsol) for crystalline HgPBr2 at its relaxed geometry.

**Energy relative to the elements, uncorrected**: 2.154 eV/f.u.
**Density of states at the Fermi level**: 0.697 states/eV/atom
**V**: 21.8 Å³ per atom

a b c (Å): 3.508 4.987 4.987
angles (deg): 90.03 90.00 90.00
Positions (direct):
Br: 0.000 0.500 0.000
Br: 0.000 0.000 0.500
P: 0.500 0.500 0.500
Hg: 0.500 0.000 0.000

***

Density functional theory data (PBEsol) for crystalline HgPSe2Br at its relaxed geometry.

**Energy relative to the elements, uncorrected**: 1.323 eV/f.u.
**Density of states at the Fermi level**: 0.548 states/eV/atom
**V**: 23.3 Å³ per atom

a b c (Å): 4.819 4.819 5.019
angles (deg): 90.00 90.00 90.00
Positions (direct):
P: 0.000 0.000 0.000
Br: 0.000 0.000 0.500
Se: 0.500 0.000 0.000
Se: 0.000 0.500 0.000
Hg: 0.500 0.500 0.500

***

Density functional theory data (PBEsol) for crystalline SnHg7P4Br6 at its relaxed geometry.

**Energy relative to the elements, uncorrected**: -5.791 eV/f.u.
**Density of states at the Fermi level**: 0.000 states/eV/atom
**V**: 27.1 Å³ per atom

a b c (Å): 12.491 12.491 12.491
angles (deg): 90.00 90.00 90.00
Positions (direct):
Hg: 0.252 0.434 0.503
Hg: 0.175 0.102 0.920
Hg: 0.102 0.920 0.175
Hg: 0.934 0.997 0.748
Hg: 0.543 0.543 0.543
Hg: 0.325 0.898 0.420
Hg: 0.748 0.934 0.997
Hg: 0.080 0.675 0.398
Hg: 0.066 0.497 0.752
Hg: 0.898 0.420 0.325
Hg: 0.434 0.503 0.252
Hg: 0.957 0.457 0.043
Hg: 0.825 0.602 0.580
Hg: 0.675 0.398 0.080
Hg: 0.398 0.080 0.675
Hg: 0.248 0.566 0.003
Hg: 0.003 0.248 0.566
Hg: 0.497 0.752 0.066
Hg: 0.566 0.003 0.248
Hg: 0.580 0.825 0.602
Hg: 0.920 0.175 0.102
Hg: 0.043 0.957 0.457
Hg: 0.420 0.325 0.898
Hg: 0.602 0.580 0.825
Hg: 0.457 0.043 0.957
Hg: 0.503 0.252 0.434
Hg: 0.997 0.748 0.934
Hg: 0.752 0.066 0.497
Br: 0.300 0.690 0.554
Br: 0.054 0.200 0.310
Br: 0.700 0.190 0.946
Br: 0.764 0.316 0.489
Br: 0.810 0.446 0.800
Br: 0.989 0.736 0.684
Br: 0.554 0.300 0.690
Br: 0.011 0.236 0.816
Br: 0.800 0.810 0.446
Br: 0.310 0.054 0.200
Br: 0.489 0.764 0.316
Br: 0.236 0.816 0.011
Br: 0.446 0.800 0.810
Br: 0.684 0.989 0.736
Br: 0.316 0.489 0.764
Br: 0.511 0.264 0.184
Br: 0.736 0.684 0.989
Br: 0.690 0.554 0.300
Br: 0.264 0.184 0.511
Br: 0.946 0.700 0.190
Br: 0.816 0.011 0.236
Br: 0.184 0.511 0.264
Br: 0.190 0.946 0.700
Br: 0.200 0.310 0.054
P: 0.067 0.567 0.933
P: 0.847 0.347 0.153
P: 0.969 0.531 0.469
P: 0.570 0.070 0.430
P: 0.347 0.153 0.847
P: 0.567 0.933 0.067
P: 0.469 0.969 0.531
P: 0.430 0.570 0.070
P: 0.031 0.031 0.031
P: 0.153 0.847 0.347
P: 0.930 0.930 0.930
P: 0.070 0.430 0.570
P: 0.653 0.653 0.653
P: 0.933 0.067 0.567
P: 0.433 0.433 0.433
P: 0.531 0.469 0.969
Sn: 0.761 0.239 0.739
Sn: 0.739 0.761 0.239
Sn: 0.239 0.739 0.761
Sn: 0.261 0.261 0.261

***

Density functional theory data (PBEsol) for crystalline HgPb3Br at its relaxed geometry.

**Energy relative to the elements, uncorrected**: 1.796 eV/f.u.
**Density of states at the Fermi level**: 0.883 states/eV/atom
**V**: 37.1 Å³ per atom

a b c (Å): 5.704 5.704 5.704
angles (deg): 90.00 90.00 90.00
Positions (direct):
Br: 0.500 0.500 0.500
Pb: 0.000 0.500 0.000
Pb: 0.000 0.000 0.500
Pb: 0.500 0.000 0.000
Hg: 0.000 0.000 0.000

***

Density functional theory data (PBEsol) for crystalline HgPdBr2 at its relaxed geometry.

**Energy relative to the elements, uncorrected**: 0.886 eV/f.u.
**Density of states at the Fermi level**: 1.549 states/eV/atom
**V**: 21.1 Å³ per atom

a b c (Å): 4.923 4.923 4.923
angles (deg): 60.00 60.00 60.00
Positions (direct):
Pd: 0.000 0.000 0.000
Br: 0.250 0.250 0.250
Br: 0.750 0.750 0.750
Hg: 0.500 0.500 0.500

***

Question: Which formula does entry 2 have?
Answer: HgPBr2

***

Repeat the third record exactly.
Density functional theory data (PBEsol) for crystalline HgPSe2Br at its relaxed geometry.

**Energy relative to the elements, uncorrected**: 1.323 eV/f.u.
**Density of states at the Fermi level**: 0.548 states/eV/atom
**V**: 23.3 Å³ per atom

a b c (Å): 4.819 4.819 5.019
angles (deg): 90.00 90.00 90.00
Positions (direct):
P: 0.000 0.000 0.000
Br: 0.000 0.000 0.500
Se: 0.500 0.000 0.000
Se: 0.000 0.500 0.000
Hg: 0.500 0.500 0.500

***

Question: Among the records above, which one has the highest V?
Answer: HgPb3Br

***

Question: V of number 6 (HgPdBr2)?
Answer: 21.1 Å³ per atom